(1)
The following is a DFT calculation (PBE) of crystalline Pa2GaPd at its relaxed geometry.

The space group is P4/mmm (No. 123) and the conventional cell measures 3.1494, 3.1494 and 8.4730 Å, with angles of 90.00, 90.00 and 90.00 degrees. Symmetry generates all atoms from Pa at (0.0000, 0.0000, 0.2457), Ga at (0.5000, 0.5000, 0.5000) and Pd at (0.5000, 0.5000, 0.0000).

For the energy of formation from the pure elements, the calculation gives -0.35 eV per atom. For the energy above the lowest structure with this stoichiometry, the calculation gives 0.020 eV/atom.

***

(2)
The following is a DFT calculation (PBE) of crystalline NbAlSeN2 at its relaxed geometry.

The space group is P4/mmm (No. 123) and the conventional cell measures 4.0056, 4.0056 and 5.4818 Å, with angles of 90.00, 90.00 and 90.00 degrees. Symmetry generates all atoms from Nb at (0.0000, 0.0000, 0.0000), Al at (0.5000, 0.5000, 0.5000), Se at (0.0000, 0.0000, 0.5000) and N at (0.0000, 0.5000, 0.0000).

As for the raw formation energy: 0.230 eV per atom. For the energy above the lowest structure with this stoichiometry, the calculation gives 0.000 eV/atom.

***

- Which of these has the highest energy above the lowest structure with this stoichiometry?
  Pa2GaPd

***

- Number 2 is which compound?
  NbAlSeN2

***

- Among the records above, which one has the lowest energy above the lowest structure with this stoichiometry?
  NbAlSeN2